The following is a PBE calculation of a relaxed NdPu2Tl3Se6 crystal, from Alexandria.

Output
The calculation puts the density of states at the Fermi level at 21.8 states/eV/f.u. The value obtained for the formation energy from raw total energies is -1.1911 eV/atom. For the volume, the calculation gives 732 Å³ per cell.

abc: 7.398 12.812 8.103
angles: 90.00 107.71 90.00
Space group C2/m (No. 12)
Unique sites:
Nd 0.000 0.000 0.000
Pu 0.000 0.333 0.000
Tl 0.000 0.166 0.500
Tl 0.000 0.500 0.500
Se 0.228 0.500 0.206
Se 0.239 0.170 0.207